# PBE CeGdTcPt, relaxed
data_CeGdTcPt
_chemical_formula_sum 'Ce1 Gd1 Tc1 Pt1'
_cell_length_a 4.943
_cell_length_b 4.943
_cell_length_c 4.943
_cell_angle_alpha 60.00
_cell_angle_beta 60.00
_cell_angle_gamma 60.00
_symmetry_space_group_name_H-M 'P 1'
_symmetry_Int_Tables_number 1
loop_
_symmetry_equiv_pos_as_xyz
'x,y,z'
loop_
_atom_site_label
_atom_site_type_symbol
_atom_site_fract_x
_atom_site_fract_y
_atom_site_fract_z
Ce1 Ce 0.250 0.250 0.250
Gd1 Gd 0.750 0.750 0.750
Pt1 Pt 0.500 0.500 0.500
Tc1 Tc 0.000 0.000 0.000
# ΔH_f (0 K) in eV/atom: -0.48
# DOS(E_F) in states/eV/atom: 0.75

# PBE CeGdTlPt, relaxed
data_CeGdTlPt
_chemical_formula_sum 'Ce1 Gd1 Tl1 Pt1'
_cell_length_a 5.237
_cell_length_b 5.237
_cell_length_c 5.237
_cell_angle_alpha 60.00
_cell_angle_beta 60.00
_cell_angle_gamma 60.00
_symmetry_space_group_name_H-M 'P 1'
_symmetry_Int_Tables_number 1
loop_
_symmetry_equiv_pos_as_xyz
'x,y,z'
loop_
_atom_site_label
_atom_site_type_symbol
_atom_site_fract_x
_atom_site_fract_y
_atom_site_fract_z
Ce1 Ce 0.750 0.750 0.750
Pt1 Pt 0.500 0.500 0.500
Tl1 Tl 0.000 0.000 0.000
Gd1 Gd 0.250 0.250 0.250
# ΔH_f (0 K) in eV/atom: -0.58
# DOS(E_F) in states/eV/atom: 1.89

# PBE CeGdPu2, relaxed
data_CeGdPu2
_chemical_formula_sum 'Ce1 Gd1 Pu2'
_cell_length_a 3.390
_cell_length_b 3.390
_cell_length_c 9.508
_cell_angle_alpha 90.00
_cell_angle_beta 90.00
_cell_angle_gamma 90.00
_symmetry_space_group_name_H-M 'P 1'
_symmetry_Int_Tables_number 1
loop_
_symmetry_equiv_pos_as_xyz
'x,y,z'
loop_
_atom_site_label
_atom_site_type_symbol
_atom_site_fract_x
_atom_site_fract_y
_atom_site_fract_z
Pu1 Pu 0.000 0.000 0.227
Pu2 Pu 0.000 0.000 0.773
Gd1 Gd 0.500 0.500 0.500
Ce1 Ce 0.500 0.500 0.000
# ΔH_f (0 K) in eV/atom: 0.16
# Energy above the lowest structure with this stoichiometry in kJ/mol of atoms: 0.0
# DOS(E_F) in states/eV/atom: 3.15

# PBE CeGd2Pu, relaxed
data_CeGd2Pu
_chemical_formula_sum 'Ce1 Gd2 Pu1'
_cell_length_a 4.166
_cell_length_b 4.166
_cell_length_c 7.225
_cell_angle_alpha 90.00
_cell_angle_beta 90.00
_cell_angle_gamma 90.00
_symmetry_space_group_name_H-M 'P 1'
_symmetry_Int_Tables_number 1
loop_
_symmetry_equiv_pos_as_xyz
'x,y,z'
loop_
_atom_site_label
_atom_site_type_symbol
_atom_site_fract_x
_atom_site_fract_y
_atom_site_fract_z
Gd1 Gd 0.000 0.000 0.740
Gd2 Gd 0.000 0.000 0.260
Pu1 Pu 0.500 0.500 0.500
Ce1 Ce 0.500 0.500 0.000
# ΔH_f (0 K) in eV/atom: 0.24
# Energy above the lowest structure with this stoichiometry in kJ/mol of atoms: 0.0
# DOS(E_F) in states/eV/atom: 3.47

# PBE CeGd2Pu, relaxed
data_CeGd2Pu
_chemical_formula_sum 'Ce1 Gd2 Pu1'
_cell_length_a 5.607
_cell_length_b 5.607
_cell_length_c 5.607
_cell_angle_alpha 60.00
_cell_angle_beta 60.00
_cell_angle_gamma 60.00
_symmetry_space_group_name_H-M 'P 1'
_symmetry_Int_Tables_number 1
loop_
_symmetry_equiv_pos_as_xyz
'x,y,z'
loop_
_atom_site_label
_atom_site_type_symbol
_atom_site_fract_x
_atom_site_fract_y
_atom_site_fract_z
Ce1 Ce 0.500 0.500 0.500
Pu1 Pu 0.000 0.000 0.000
Gd1 Gd 0.250 0.250 0.250
Gd2 Gd 0.750 0.750 0.750
# ΔH_f (0 K) in eV/atom: 0.27
# Energy above the lowest structure with this stoichiometry in kJ/mol of atoms: 2.8
# DOS(E_F) in states/eV/atom: 4.27

# PBE CeGdPu2, relaxed
data_CeGdPu2
_chemical_formula_sum 'Ce1 Gd1 Pu2'
_cell_length_a 5.429
_cell_length_b 5.429
_cell_length_c 5.429
_cell_angle_alpha 60.00
_cell_angle_beta 60.00
_cell_angle_gamma 60.00
_symmetry_space_group_name_H-M 'P 1'
_symmetry_Int_Tables_number 1
loop_
_symmetry_equiv_pos_as_xyz
'x,y,z'
loop_
_atom_site_label
_atom_site_type_symbol
_atom_site_fract_x
_atom_site_fract_y
_atom_site_fract_z
Pu1 Pu 0.750 0.750 0.750
Pu2 Pu 0.250 0.250 0.250
Gd1 Gd 0.500 0.500 0.500
Ce1 Ce 0.000 0.000 0.000
# ΔH_f (0 K) in eV/atom: 0.22
# Energy above the lowest structure with this stoichiometry in kJ/mol of atoms: 5.6
# DOS(E_F) in states/eV/atom: 2.89